## HgPd3 (PBE)

Data for a relaxed structure of HgPd3.

## Properties
* total energy: -4.0723 eV/atom
* crystal system: hexagonal
* total magnetization: 0.0 μB per formula unit
* energy of formation: -0.1022 eV per atom

Lattice parameters (Å, degrees): 5.7415 5.7415 4.6795 90.00 90.00 120.00
Closest atoms and distances in Å follow each position.
Space group P6_3/mmc (No. 194)
Asymmetric unit:
Hg (0.3333, 0.6667, 0.2500)  12 Pd 2.87-2.88
Pd (0.1642, 0.3285, 0.7500)  8 Pd 2.83-2.91, 4 Hg 2.87-2.88



## RbZn2Ge2 (PBE)

Data for a relaxed structure of RbZn2Ge2.

## Properties
* total energy: -2.5778 eV/atom
* crystal system: triclinic
* total magnetization: 0.0 μB per formula unit
* energy relative to the lowest polymorph listed for this composition: 0.011 eV per atom
* energy of formation: -0.0277 eV per atom

Lattice parameters (Å, degrees): 6.0448 6.5982 7.1976 63.01 79.62 69.38
Closest atoms and distances in Å follow each position.
Space group P-1 (No. 2)
Asymmetric unit:
Rb (0.2485, 0.4020, 0.1985)  4 Zn 3.40-3.60, 4 Ge 3.46-3.74
Zn (0.2498, 0.7523, 0.5054)  4 Ge 2.58-2.62, 1 Zn 2.81
Zn (0.2764, 0.9603, 0.0666)  4 Ge 2.61-2.65, 2 Zn 2.81-2.85
Ge (0.1288, 0.0062, 0.7211)  1 Ge 2.59, 4 Zn 2.62-2.65
Ge (0.3517, 0.2866, 0.7000)  4 Zn 2.58-2.63, 1 Ge 2.59



## CaTbEr2In4 (PBE)

Data for a relaxed structure of CaTbEr2In4.

## Properties
* total energy: -3.7856 eV/atom
* crystal system: trigonal
* total magnetization: 0.0 μB per formula unit
* energy of formation: -0.4467 eV per atom

Lattice parameters (Å, degrees): 5.3229 5.3229 26.1928 90.00 90.00 120.00
Closest atoms and distances in Å follow each position.
Space group R-3m (No. 166, hexagonal axes)
Asymmetric unit:
Ca (0.0000, 0.0000, 0.0000)  8 In 3.27-3.29
Tb (0.0000, 0.0000, 0.5000)  8 In 3.25
Er (0.0000, 0.0000, 0.2514)  8 In 3.24-3.29
In (0.0000, 0.0000, 0.1257)  3 Tb 3.25, 4 Er 3.28-3.29, 1 Ca 3.29
In (0.0000, 0.0000, 0.3758)  4 Er 3.24-3.26, 1 Tb 3.25, 3 Ca 3.27